Computed, not measured: a relaxed Mn2As crystal at the PBE level of DFT.

The structure in extended XYZ format:
```
6
Lattice="3.437 -3.307 0.217 -3.462 -0.968 3.142 -1.860 0.013 -4.398" Properties=species:S:1:pos:R:3 pbc="T T T"
Mn 0.191 -2.325 -2.958
Mn -2.076 -1.937 1.919
Mn -1.560 -0.851 -1.095
Mn -0.325 -3.411 0.056
As -0.006 -1.069 0.840
As -0.019 -3.207 2.519
```

total magnetization	5.2	μB/f.u.
symmetry	I4/mcm
density	7.33	g/cm³
total energy	-7.54	eV/atom
volume	13.961	Å³/atom
DFT formation energy	123	meV/atom